Here is a geometry-optimized HoZrSb structure from Alexandria. Energies are from PBE.

Properties
Total DFT energy (no corrections) (eV/cell): -39.3
Theoretical density (g cm⁻³): 8.3
Formation energy (no corrections) (kJ/mol of atoms): -77

Geometry as CIF:
```
data_HoZrSb
_space_group_name_H-M_alt 'P 4/n m m'
_space_group_IT_number 129
_cell_length_a 4.3082
_cell_length_b 4.3082
_cell_length_c 8.1914
_cell_angle_alpha 90.00
_cell_angle_beta 90.00
_cell_angle_gamma 90.00
loop_
_space_group_symop_operation_xyz
'x,y,z'
'-x,-y,-z'
'-y+1/2,x,z'
'y+1/2,-x,-z'
'-x+1/2,-y+1/2,z'
'x+1/2,y+1/2,-z'
'y,-x+1/2,z'
'-y,x+1/2,-z'
'x+1/2,-y,-z'
'-x+1/2,y,z'
'-y,-x,-z'
'y,x,z'
'-x,y+1/2,-z'
'x,-y+1/2,z'
'y+1/2,x+1/2,-z'
'-y+1/2,-x+1/2,z'
loop_
_atom_site_label
_atom_site_type_symbol
_atom_site_fract_x
_atom_site_fract_y
_atom_site_fract_z
Ho1 Ho 0.2500 0.2500 0.1488
Zr1 Zr 0.2500 0.7500 0.5000
Sb1 Sb 0.2500 0.2500 0.7655
```



Here is a geometry-optimized PaCo4Ge2 structure from Alexandria. Energies are from PBE.

Properties
Total DFT energy (no corrections) (eV/cell): -146.6
Theoretical density (g cm⁻³): 10.0
E above lowest polymorph (eV/atom): 0.0786
ΔH_f (0 K) (meV per atom): -245

Geometry as CIF:
```
data_PaCo4Ge2
_space_group_name_H-M_alt 'R -3 m'
_space_group_IT_number 166
_space_group_name_Hall '-R 3 2"'
_cell_length_a 4.0673
_cell_length_b 4.0673
_cell_length_c 21.2460
_cell_angle_alpha 90.00
_cell_angle_beta 90.00
_cell_angle_gamma 120.00
loop_
_atom_site_label
_atom_site_type_symbol
_atom_site_fract_x
_atom_site_fract_y
_atom_site_fract_z
Pa1 Pa 0.0000 0.0000 0.0000
Co1 Co 0.0000 0.0000 0.1362
Co2 Co 0.0000 0.0000 0.4405
Ge1 Ge 0.0000 0.0000 0.2491
```



Here is a geometry-optimized Pm5Co2Br2 structure from Alexandria. Energies are from PBE.

Properties
Total DFT energy (no corrections) (eV/cell): -185.4
Theoretical density (g cm⁻³): 6.9
Formation energy (no corrections) (kJ/mol of atoms): -54

Geometry as CIF:
```
data_Pm5Co2Br2
_space_group_name_H-M_alt 'C m c e'
_space_group_IT_number 64
_space_group_name_Hall '-C 2ac 2'
_cell_length_a 16.0479
_cell_length_b 7.7557
_cell_length_c 7.7800
_cell_angle_alpha 90.00
_cell_angle_beta 90.00
_cell_angle_gamma 90.00
loop_
_atom_site_label
_atom_site_type_symbol
_atom_site_fract_x
_atom_site_fract_y
_atom_site_fract_z
Pm1 Pm 0.0000 0.0000 0.0000
Pm2 Pm 0.1109 0.1538 0.3462
Co1 Co 0.0000 0.1417 0.6384
Br1 Br 0.2089 0.0000 0.0000
```



Here is a geometry-optimized Sr3AgTe structure from Alexandria. Energies are from PBE.

Properties
Total DFT energy (no corrections) (eV/cell): -13.0
Theoretical density (g cm⁻³): 3.8
Formation energy (no corrections) (kJ/mol of atoms): -37
E above lowest polymorph (eV/atom): 0.0000

Geometry as CIF:
```
data_Sr3AgTe
_space_group_name_H-M_alt 'P m -3 m'
_space_group_IT_number 221
_space_group_name_Hall '-P 4 2 3'
_cell_length_a 6.0098
_cell_length_b 6.0098
_cell_length_c 6.0098
_cell_angle_alpha 90.00
_cell_angle_beta 90.00
_cell_angle_gamma 90.00
loop_
_atom_site_label
_atom_site_type_symbol
_atom_site_fract_x
_atom_site_fract_y
_atom_site_fract_z
Sr1 Sr 0.0000 0.0000 0.5000
Ag1 Ag 0.0000 0.0000 0.0000
Te1 Te 0.5000 0.5000 0.5000
```



Here is a geometry-optimized KCeF5 structure from Alexandria. Energies are from PBE.

Properties
Total DFT energy (no corrections) (eV/cell): -82.0
Theoretical density (g cm⁻³): 2.8
Formation energy (no corrections) (kJ/mol of atoms): -340
E above lowest polymorph (eV/atom): 0.0000

Geometry as CIF:
```
data_KCeF5
_space_group_name_H-M_alt 'I m m m'
_space_group_IT_number 71
_space_group_name_Hall '-I 2 2'
_cell_length_a 4.5671
_cell_length_b 7.5403
_cell_length_c 9.4349
_cell_angle_alpha 90.00
_cell_angle_beta 90.00
_cell_angle_gamma 90.00
loop_
_atom_site_label
_atom_site_type_symbol
_atom_site_fract_x
_atom_site_fract_y
_atom_site_fract_z
K1 K 0.0000 0.0000 0.0000
Ce1 Ce 0.0000 0.0000 0.5000
F1 F 0.0000 0.0000 0.2761
F2 F 0.0000 0.2843 0.5000
F3 F 0.0000 0.5000 0.0000
```



Here is a geometry-optimized La2PrNd2Er structure from Alexandria. Energies are from PBE.

Properties
Total DFT energy (no corrections) (eV/cell): -56.8
Theoretical density (g cm⁻³): 6.9
ΔH_f (0 K) (meV per atom): 52

Geometry as CIF:
```
data_La2PrNd2Er
_space_group_name_H-M_alt 'P m m a'
_space_group_IT_number 51
_space_group_name_Hall '-P 2a 2a'
_cell_length_a 7.1670
_cell_length_b 5.8120
_cell_length_c 10.1106
_cell_angle_alpha 90.00
_cell_angle_beta 90.00
_cell_angle_gamma 90.00
loop_
_atom_site_label
_atom_site_type_symbol
_atom_site_fract_x
_atom_site_fract_y
_atom_site_fract_z
La1 La 0.0000 0.0000 0.0000
La2 La 0.2500 0.5000 0.1708
Pr1 Pr 0.0000 0.5000 0.5000
Nd1 Nd 0.2500 0.0000 0.3319
Nd2 Nd 0.2500 0.5000 0.8350
Er1 Er 0.2500 0.0000 0.6631
```